{
  "formula": "CrIrN2O",
  "functional": "PBE+U",
  "state": "relaxed",
  "e_tot_ev_per_atom": -6.313,
  "dos_ef_per_ev_cell": 6.1,
  "rho_g_cm3": 9.29,
  "magmom_total_mub_per_atom": 0.1076,
  "sg": "P4/mmm, No. 123",
  "lattice_angstrom": [[3.8148, 0.0000, 0.0000], [0.0000, 3.8148, 0.0000], [0.0000, 0.0000, 3.5394]],
  "species": ["Cr", "Ir", "O", "N", "N"],
  "fractional_positions": [[0.0000, 0.0000, 0.0000], [0.5000, 0.5000, 0.5000], [0.0000, 0.0000, 0.5000], [0.0000, 0.5000, 0.0000], [0.5000, 0.0000, 0.0000]]
}